# 1
Here is a geometry-optimized LiCaRh2 structure from Alexandria via LeMat-Bulk. Energies are from PBE.

Output
ΔH_f (0 K) ... 315 meV/atom
M_tot ... 1.330 μB per formula unit
E ... -0.1595 Ha/atom

a b c (Å): 9.573 9.573 9.573
angles (deg): 18.07 18.07 18.07
Positions (direct):
1 Ca 0.510 0.510 0.510
2 Li 0.736 0.736 0.736
3 Rh 0.997 0.997 0.997
4 Rh 0.257 0.257 0.257


# 2
Here is a geometry-optimized BeGaIrPt2 structure from Alexandria via LeMat-Bulk. Energies are from PBE.

Output
ΔH_f (0 K) ... 1201 meV/atom
M_tot ... 0.000 μB per formula unit
E ... -0.1594 Ha/atom

a b c (Å): 4.901 4.627 4.901
angles (deg): 90.00 90.00 90.00
Positions (direct):
1 Be 0.500 0.500 0.500
2 Ir 0.000 0.000 0.000
3 Ga 0.000 0.500 0.000
4 Pt 0.000 0.000 0.500
5 Pt 0.500 0.000 0.000


# 3
Here is a geometry-optimized La2MnGaSn structure from Alexandria via LeMat-Bulk. Energies are from PBE.

Output
ΔH_f (0 K) ... -166 meV/atom
M_tot ... 0.000 μB per formula unit
E ... -0.1976 Ha/atom

a b c (Å): 5.145 5.013 5.145
angles (deg): 90.00 90.00 90.00
Positions (direct):
1 Mn 0.000 0.000 0.000
2 Sn 0.000 0.500 0.000
3 Ga 0.500 0.500 0.500
4 La 0.000 0.000 0.500
5 La 0.500 0.000 0.000